Compound: GdCr2Si2
Source: Alexandria via LeMat-Bulk
Functional: PBE
Structure: relaxed

Properties
- Magnetization: 1.399 μB/atom
- V: 16.59 A^3/atom
- Formation energy (no corrections): -0.49 eV per atom
- Calculated total energy: -9.322 eV/atom
- Crystal system: tetragonal

a = 3.943 Å, b = 3.943 Å, c = 10.671 Å
α = 90.00°, β = 90.00°, γ = 90.00°
Space group I4/mmm (No. 139)
Symmetry-distinct sites (fractional):
Gd 0.000 0.000 0.000 (multiplicity 2)
Cr 0.000 0.500 0.250 (multiplicity 4)
Si 0.000 0.000 0.385 (multiplicity 4)